1.
Here is an optimized crystal structure of AcTb2S4 from the Alexandria database. Energies are from PBE-GGA.

Cell: 4.006 6.834 13.418 Å, 90.00 90.00 107.05°
Fractional positions:
S  0.770  0.540  0.117
S  0.230  0.460  0.617
S  0.500  0.000  0.000
S  0.770  0.540  0.383
S  0.500  0.000  0.500
S  0.230  0.460  0.883
S  0.048  0.095  0.250
S  0.952  0.905  0.750
Tb  0.871  0.742  0.936
Tb  0.129  0.258  0.064
Tb  0.129  0.258  0.436
Tb  0.871  0.742  0.564
Ac  0.620  0.241  0.750
Ac  0.380  0.759  0.250

Computed properties:
- Formation energy from raw total energies: -2.11 eV/atom
- V: 175.61 Å³/f.u.
- Space-group type: No. 63
- E: -6.38 eV per atom

2.
Here is an optimized crystal structure of AcTbS3 from the Alexandria database. Energies are from PBE-GGA.

Cell: 4.160 7.672 15.649 Å, 90.00 90.00 90.00°
Fractional positions:
S  0.250  0.654  0.712
S  0.750  0.631  0.445
S  0.750  0.131  0.055
S  0.250  0.012  0.397
S  0.250  0.154  0.788
S  0.750  0.346  0.288
S  0.750  0.988  0.603
S  0.250  0.369  0.555
S  0.250  0.869  0.945
S  0.750  0.846  0.212
S  0.250  0.512  0.103
S  0.750  0.488  0.897
Ac  0.250  0.141  0.198
Ac  0.750  0.859  0.802
Ac  0.250  0.641  0.302
Ac  0.750  0.359  0.698
Tb  0.750  0.724  0.044
Tb  0.250  0.776  0.544
Tb  0.250  0.276  0.956
Tb  0.750  0.224  0.456

Computed properties:
- Formation energy from raw total energies: -2.13 eV/atom
- V: 124.86 Å³/f.u.
- Space-group type: No. 62
- E: -6.36 eV per atom

3.
Here is an optimized crystal structure of AcTbS3 from the Alexandria database. Energies are from PBE-GGA.

Cell: 4.155 6.782 8.960 Å, 90.00 90.00 90.00°
Fractional positions:
Ac  0.750  0.250  0.149
Ac  0.250  0.750  0.851
Tb  0.750  0.750  0.402
Tb  0.250  0.250  0.598
S  0.750  0.750  0.079
S  0.750  0.986  0.659
S  0.250  0.486  0.341
S  0.250  0.014  0.341
S  0.750  0.514  0.659
S  0.250  0.250  0.921

Computed properties:
- Formation energy from raw total energies: -2.12 eV/atom
- V: 126.25 Å³/f.u.
- Space-group type: No. 59
- E: -6.34 eV per atom

4.
Here is an optimized crystal structure of AcTb2S5 from the Alexandria database. Energies are from PBE-GGA.

Cell: 7.471 7.471 8.355 Å, 116.56 116.56 90.00°
Fractional positions:
S  0.511  0.710  0.721
S  0.000  0.000  0.000
S  0.790  0.989  0.279
S  0.500  0.500  0.000
S  0.489  0.290  0.279
S  0.290  0.790  0.279
S  0.989  0.489  0.279
S  0.210  0.011  0.721
S  0.011  0.511  0.721
S  0.710  0.210  0.721
Tb  0.158  0.342  0.000
Tb  0.658  0.158  0.000
Tb  0.342  0.842  0.000
Tb  0.842  0.658  0.000
Ac  0.250  0.250  0.500
Ac  0.750  0.750  0.500

Computed properties:
- Formation energy from raw total energies: -1.88 eV/atom
- V: 180.66 Å³/f.u.
- Space-group type: No. 140
- E: -6.13 eV per atom

5.
Here is an optimized crystal structure of Ac3TbS4 from the Alexandria database. Energies are from PBE-GGA.

Cell: 7.287 7.366 8.370 Å, 90.00 90.00 109.31°
Fractional positions:
Tb  0.750  0.000  0.876
Tb  0.250  0.000  0.124
Ac  0.250  0.000  0.627
Ac  0.250  0.500  0.875
Ac  0.750  0.500  0.125
Ac  0.750  0.000  0.373
Ac  0.250  0.500  0.375
Ac  0.750  0.500  0.625
S  0.512  0.762  0.636
S  0.000  0.770  0.885
S  0.500  0.770  0.115
S  0.000  0.230  0.115
S  0.500  0.230  0.885
S  0.012  0.762  0.364
S  0.988  0.238  0.636
S  0.488  0.238  0.364

Computed properties:
- Formation energy from raw total energies: -1.98 eV/atom
- V: 211.99 Å³/f.u.
- Space-group type: No. 13
- E: -6.16 eV per atom

6.
Here is an optimized crystal structure of AcTbS from the Alexandria database. Energies are from PBE-GGA.

Cell: 3.997 3.997 6.830 Å, 90.00 90.00 120.00°
Last column: magnetic moment on the atom in μB.
Fractional positions:
Ac  0.000  0.000  0.933  0.10
S  0.333  0.667  0.645  0.01
Tb  0.667  0.333  0.422  -0.16

Computed properties:
- Formation energy from raw total energies: -1.18 eV/atom
- V: 94.48 Å³/f.u.
- Space-group type: No. 156
- E: -5.47 eV per atom

7.
Here is an optimized crystal structure of Ac3TbS4 from the Alexandria database. Energies are from PBE-GGA.

Cell: 5.984 5.984 5.984 Å, 90.00 90.00 90.00°
Fractional positions:
Ac  0.000  0.500  0.500
Ac  0.500  0.500  0.000
Ac  0.500  0.000  0.500
S  0.500  0.000  0.000
S  0.500  0.500  0.500
S  0.000  0.500  0.000
S  0.000  0.000  0.500
Tb  0.000  0.000  0.000

Computed properties:
- Formation energy from raw total energies: -1.93 eV/atom
- V: 214.26 Å³/f.u.
- Space-group type: No. 221
- E: -6.11 eV per atom

8.
Here is an optimized crystal structure of Ac3TbS from the Alexandria database. Energies are from PBE-GGA.

Cell: 5.826 5.826 5.826 Å, 90.00 90.00 90.00°
Fractional positions:
Tb  0.500  0.500  0.500
Ac  0.000  0.500  0.000
Ac  0.500  0.000  0.000
Ac  0.000  0.000  0.500
S  0.000  0.000  0.000

Computed properties:
- Formation energy from raw total energies: -0.64 eV/atom
- V: 197.77 Å³/f.u.
- Space-group type: No. 221
- E: -4.86 eV per atom